Entry from the Alexandria database: crystalline TaMoO2 at its relaxed geometry (GGA+U).

Values from the calculation:
V: 46.7 Å³/cell
excess energy over the best structure of this formula in the dataset: 0.784 eV per atom
total magnetic moment: 2.9 μB/f.u.

abc: 4.0410 4.0410 4.0410
angles: 60.00 60.00 60.00
Last column: nearest neighbours and their distance in Å.
Positions (direct):
Mo 0.0000 0.0000 0.0000  8 O 2.47
O 0.7500 0.7500 0.7500  4 Ta 2.47, 4 Mo 2.47
O 0.2500 0.2500 0.2500  4 Ta 2.47, 4 Mo 2.47
Ta 0.5000 0.5000 0.5000  8 O 2.47